An optimized crystal structure of Ti3P6WO24. Source: the Alexandria database, functional GGA+U.

Values from the calculation:
* volume: 14.0 A^3/atom
* E: -7.788 eV/atom
* theoretical density: 3.127 g cm⁻³

Cell and atoms, written as CIF:
```
data_Ti3P6WO24
_chemical_formula_sum 'Ti9 P18 W3 O72'
_cell_length_a 8.6251
_cell_length_b 8.6251
_cell_length_c 22.1909
_cell_angle_alpha 90.00
_cell_angle_beta 90.00
_cell_angle_gamma 120.00
_space_group_name_H-M_alt 'R 3'
_space_group_IT_number 146
_space_group_name_Hall 'R 3'
loop_
_atom_site_label
_atom_site_type_symbol
_atom_site_fract_x
_atom_site_fract_y
_atom_site_fract_z
Ti1 Ti 0.0000 0.0000 0.0000
Ti2 Ti 0.0000 0.0000 0.2174
Ti3 Ti 0.0000 0.0000 0.7171
P1 P 0.0487 0.3812 0.2774
P2 P 0.0567 0.6693 0.7747
W1 W 0.0000 0.0000 0.5012
O1 O 0.0225 0.1950 0.2661
O2 O 0.0262 0.1939 0.5525
O3 O 0.0338 0.8324 0.7651
O4 O 0.0452 0.8412 0.0527
O5 O 0.1632 0.6927 0.8320
O6 O 0.1639 0.6913 0.1186
O7 O 0.1724 0.4669 0.3311
O8 O 0.1729 0.4639 0.6178
```